No. 1
This record from Alexandria describes a PBEsol-optimized structure of Ca3Ag. The functional is SCAN.

Geometry as extended XYZ:
```
4
Lattice="-1.896 5.679 3.035 1.896 -5.679 3.035 1.896 5.679 -3.035" Properties=species:S:1:pos:R:3 pbc="T T T"
Ca 0.000 0.000 0.000
Ca 1.896 3.418 0.119
Ca 0.000 2.262 3.154
Ag 1.896 0.000 2.471
```

Summary:
The calculation puts the density of states at the Fermi level at 3.5 states/eV per cell. The value obtained for the formation energy is -118 meV per atom. Its symmetry is No. 44. For the calculated volume, the calculation gives 32.7 Å³ per atom. The value obtained for the total magnetization is 0.058 μB/f.u. For the polymorph energy (0 for the lowest one), the calculation gives 98 meV per atom.

No. 2
This record from Alexandria describes a PBEsol-optimized structure of Ca2Ag. The functional is SCAN.

Geometry as extended XYZ:
```
6
Lattice="1.845 -8.783 0.000 1.845 8.783 0.000 0.000 0.000 5.428" Properties=species:S:1:pos:R:3 pbc="T T T"
Ca 1.845 7.485 4.071
Ca 1.845 5.151 1.357
Ca 1.845 -5.151 4.071
Ca 1.845 -7.485 1.357
Ag 1.845 1.171 4.071
Ag 1.845 -1.171 1.357
```

Summary:
The calculation puts the density of states at the Fermi level at 5.1 states/eV per cell. The value obtained for the formation energy is -172 meV per atom. Its symmetry is No. 63. For the calculated volume, the calculation gives 29.3 Å³ per atom. The value obtained for the total magnetization is 0.040 μB/f.u.

No. 3
This record from Alexandria describes a PBEsol-optimized structure of Ca2Ag. The functional is SCAN.

Geometry as extended XYZ:
```
6
Lattice="-3.685 3.685 3.264 3.685 -3.685 3.264 3.685 3.685 -3.264" Properties=species:S:1:pos:R:3 pbc="T T T"
Ca 4.977 1.292 0.000
Ca 1.292 2.393 0.000
Ca 2.393 1.292 3.264
Ca -1.292 2.393 3.264
Ag 0.000 0.000 1.632
Ag 0.000 0.000 4.896
```

Summary:
The calculation puts the density of states at the Fermi level at 4.1 states/eV per cell. The value obtained for the formation energy is -250 meV per atom. Its symmetry is No. 140. For the calculated volume, the calculation gives 29.6 Å³ per atom. The value obtained for the total magnetization is 0.054 μB/f.u.

No. 4
This record from Alexandria describes a PBEsol-optimized structure of Ca5Ag. The functional is SCAN.

Geometry as extended XYZ:
```
6
Lattice="6.500 -1.908 0.000 6.500 1.908 0.000 -3.315 0.000 8.424" Properties=species:S:1:pos:R:3 pbc="T T T"
Ca 0.000 0.000 0.000
Ca -0.851 0.000 3.544
Ca 2.727 0.000 5.305
Ca 6.309 0.000 7.058
Ca 8.780 0.000 2.184
Ag 4.385 0.000 1.082
```

Summary:
The calculation puts the density of states at the Fermi level at 5.6 states/eV per cell. The value obtained for the formation energy is -81 meV per atom. Its symmetry is No. 8. For the calculated volume, the calculation gives 34.8 Å³ per atom. The value obtained for the total magnetization is 0.045 μB/f.u.

Copy entry 2 word for word.
This record from Alexandria describes a PBEsol-optimized structure of Ca2Ag. The functional is SCAN.

Geometry as extended XYZ:
```
6
Lattice="1.845 -8.783 0.000 1.845 8.783 0.000 0.000 0.000 5.428" Properties=species:S:1:pos:R:3 pbc="T T T"
Ca 1.845 7.485 4.071
Ca 1.845 5.151 1.357
Ca 1.845 -5.151 4.071
Ca 1.845 -7.485 1.357
Ag 1.845 1.171 4.071
Ag 1.845 -1.171 1.357
```

Summary:
The calculation puts the density of states at the Fermi level at 5.1 states/eV per cell. The value obtained for the formation energy is -172 meV per atom. Its symmetry is No. 63. For the calculated volume, the calculation gives 29.3 Å³ per atom. The value obtained for the total magnetization is 0.040 μB/f.u.